VASP calculation (GGA+U) on crystalline Al3WO7 at its relaxed geometry.

The raw total energy is -238.68 eV for the cell shown. As for the crystal system: trigonal. The value obtained for the total magnetic moment is 1.0 μB/f.u.

Structure (CIF):
```
data_Al3WO7
_chemical_formula_sum 'Al9 W3 O21'
_symmetry_space_group_name_H-M 'R 3 m'
_symmetry_Int_Tables_number 160
_symmetry_space_group_name_Hall 'R 3 -2"'
_cell_length_a 8.0529
_cell_length_b 8.0529
_cell_length_c 7.0452
_cell_angle_alpha 90.00
_cell_angle_beta 90.00
_cell_angle_gamma 120.00
loop_
_atom_site_label
_atom_site_fract_x
_atom_site_fract_y
_atom_site_fract_z
_atom_site_occupancy
Al1 0.2106 0.4211 0.0000 1
W1 0.0000 0.0000 0.7362 1
O1 0.0000 0.0000 0.4568 1
O2 0.0626 0.5313 0.8955 1
O3 0.0863 0.5432 0.4888 1
```